DFT (GGA-PBE) results for a relaxed AcPu4Pt4 crystal.

Structure (CIF):
```
data_AcPu4Pt4
_chemical_formula_sum 'Ac2 Pu8 Pt8'
_cell_length_a 7.106
_cell_length_b 7.106
_cell_length_c 9.307
_cell_angle_alpha 90.00
_cell_angle_beta 90.00
_cell_angle_gamma 90.00
_symmetry_space_group_name_H-M 'P 1'
_symmetry_Int_Tables_number 1
loop_
_symmetry_equiv_pos_as_xyz
'x,y,z'
loop_
_atom_site_label
_atom_site_fract_x
_atom_site_fract_y
_atom_site_fract_z
Pt1 0.500 0.799 0.835
Pt2 0.500 0.201 0.835
Pt3 0.000 0.299 0.665
Pt4 0.299 0.000 0.335
Pt5 0.201 0.500 0.165
Pt6 0.701 0.000 0.335
Pt7 0.000 0.701 0.665
Pt8 0.799 0.500 0.165
Ac1 0.500 0.500 0.500
Ac2 0.000 0.000 0.000
Pu1 0.761 0.500 0.861
Pu2 0.739 0.000 0.639
Pu3 0.000 0.739 0.361
Pu4 0.500 0.761 0.139
Pu5 0.261 0.000 0.639
Pu6 0.239 0.500 0.861
Pu7 0.000 0.261 0.361
Pu8 0.500 0.239 0.139
```

Properties
As for the formation energy from the elements: -640.6 meV/atom.

=====

DFT (GGA-PBE) results for a relaxed AcPuPt3 crystal.

Structure (CIF):
```
data_AcPuPt3
_chemical_formula_sum 'Ac2 Pu2 Pt6'
_cell_length_a 4.316
_cell_length_b 4.019
_cell_length_c 13.904
_cell_angle_alpha 98.31
_cell_angle_beta 90.00
_cell_angle_gamma 90.00
_symmetry_space_group_name_H-M 'P 1'
_symmetry_Int_Tables_number 1
loop_
_symmetry_equiv_pos_as_xyz
'x,y,z'
loop_
_atom_site_label
_atom_site_fract_x
_atom_site_fract_y
_atom_site_fract_z
Ac1 0.250 0.075 0.150
Ac2 0.750 0.925 0.850
Pu1 0.250 0.793 0.586
Pu2 0.750 0.207 0.414
Pt1 0.750 0.626 0.251
Pt2 0.750 0.529 0.058
Pt3 0.250 0.374 0.749
Pt4 0.750 0.311 0.622
Pt5 0.250 0.471 0.942
Pt6 0.250 0.689 0.378
```

Properties
As for the formation energy from the elements: -933.9 meV/atom.

=====

DFT (GGA-PBE) results for a relaxed AcPuPt2 crystal.

Structure (CIF):
```
data_AcPuPt2
_chemical_formula_sum 'Ac1 Pu1 Pt2'
_cell_length_a 5.170
_cell_length_b 5.170
_cell_length_c 5.170
_cell_angle_alpha 60.00
_cell_angle_beta 60.00
_cell_angle_gamma 60.00
_symmetry_space_group_name_H-M 'P 1'
_symmetry_Int_Tables_number 1
loop_
_symmetry_equiv_pos_as_xyz
'x,y,z'
loop_
_atom_site_label
_atom_site_fract_x
_atom_site_fract_y
_atom_site_fract_z
Pt1 0.250 0.250 0.250
Pt2 0.750 0.750 0.750
Ac1 0.000 0.000 0.000
Pu1 0.500 0.500 0.500
```

Properties
Its excess energy over the best structure of this formula in the dataset is 0.112 eV/atom. As for the formation energy from the elements: -817.7 meV/atom.

=====

DFT (GGA-PBE) results for a relaxed AcPu2Pt9 crystal.

Structure (CIF):
```
data_AcPu2Pt9
_chemical_formula_sum 'Ac1 Pu2 Pt9'
_cell_length_a 5.479
_cell_length_b 5.479
_cell_length_c 9.452
_cell_angle_alpha 73.15
_cell_angle_beta 73.15
_cell_angle_gamma 60.00
_symmetry_space_group_name_H-M 'P 1'
_symmetry_Int_Tables_number 1
loop_
_symmetry_equiv_pos_as_xyz
'x,y,z'
loop_
_atom_site_label
_atom_site_fract_x
_atom_site_fract_y
_atom_site_fract_z
Pt1 0.500 0.500 0.500
Pt2 0.587 0.587 0.743
Pt3 0.667 0.667 0.998
Pt4 0.082 0.587 0.743
Pt5 0.918 0.413 0.257
Pt6 0.413 0.413 0.257
Pt7 0.413 0.918 0.257
Pt8 0.333 0.333 0.002
Pt9 0.587 0.082 0.743
Pu1 0.144 0.144 0.569
Pu2 0.856 0.856 0.431
Ac1 0.000 0.000 0.000
```

Properties
As for the formation energy from the elements: -807.6 meV/atom.

=====

DFT (GGA-PBE) results for a relaxed Ac2Pu2Pt15 crystal.

Structure (CIF):
```
data_Ac2Pu2Pt15
_chemical_formula_sum 'Ac2 Pu2 Pt15'
_cell_length_a 7.167
_cell_length_b 7.167
_cell_length_c 7.167
_cell_angle_alpha 82.79
_cell_angle_beta 82.79
_cell_angle_gamma 82.79
_symmetry_space_group_name_H-M 'P 1'
_symmetry_Int_Tables_number 1
loop_
_symmetry_equiv_pos_as_xyz
'x,y,z'
loop_
_atom_site_label
_atom_site_fract_x
_atom_site_fract_y
_atom_site_fract_z
Pt1 0.842 0.345 0.345
Pt2 0.690 0.310 0.000
Pt3 0.345 0.842 0.345
Pt4 0.000 0.690 0.310
Pt5 0.345 0.345 0.842
Pt6 0.655 0.655 0.158
Pt7 0.310 0.000 0.690
Pt8 0.690 0.000 0.310
Pt9 0.500 0.000 0.000
Pt10 0.158 0.655 0.655
Pt11 0.000 0.000 0.500
Pt12 0.310 0.690 0.000
Pt13 0.000 0.310 0.690
Pt14 0.655 0.158 0.655
Pt15 0.000 0.500 0.000
Pu1 0.098 0.098 0.098
Pu2 0.902 0.902 0.902
Ac1 0.352 0.352 0.352
Ac2 0.648 0.648 0.648
```

Properties
As for the formation energy from the elements: -660.3 meV/atom.

=====

DFT (GGA-PBE) results for a relaxed Ac2PuPt crystal.

Structure (CIF):
```
data_Ac2PuPt
_chemical_formula_sum 'Ac2 Pu1 Pt1'
_cell_length_a 3.824
_cell_length_b 3.824
_cell_length_c 8.857
_cell_angle_alpha 90.00
_cell_angle_beta 90.00
_cell_angle_gamma 90.00
_symmetry_space_group_name_H-M 'P 1'
_symmetry_Int_Tables_number 1
loop_
_symmetry_equiv_pos_as_xyz
'x,y,z'
loop_
_atom_site_label
_atom_site_fract_x
_atom_site_fract_y
_atom_site_fract_z
Ac1 0.000 0.000 0.203
Ac2 0.000 0.000 0.797
Pt1 0.500 0.500 0.000
Pu1 0.500 0.500 0.500
```

Properties
Its excess energy over the best structure of this formula in the dataset is 0.000 eV/atom. As for the formation energy from the elements: -351.7 meV/atom.

=====

DFT (GGA-PBE) results for a relaxed AcPuPt2 crystal.

Structure (CIF):
```
data_AcPuPt2
_chemical_formula_sum 'Ac1 Pu1 Pt2'
_cell_length_a 4.015
_cell_length_b 4.015
_cell_length_c 7.525
_cell_angle_alpha 105.53
_cell_angle_beta 105.49
_cell_angle_gamma 89.94
_symmetry_space_group_name_H-M 'P 1'
_symmetry_Int_Tables_number 1
loop_
_symmetry_equiv_pos_as_xyz
'x,y,z'
loop_
_atom_site_label
_atom_site_fract_x
_atom_site_fract_y
_atom_site_fract_z
Pt1 0.826 0.486 0.437
Pt2 0.617 0.276 0.019
Pu1 0.471 0.631 0.728
Ac1 0.221 0.881 0.228
```

Properties
Its excess energy over the best structure of this formula in the dataset is 0.208 eV/atom. As for the formation energy from the elements: -721.9 meV/atom.

=====

DFT (GGA-PBE) results for a relaxed AcPu2Pt crystal.

Structure (CIF):
```
data_AcPu2Pt
_chemical_formula_sum 'Ac1 Pu2 Pt1'
_cell_length_a 3.786
_cell_length_b 3.786
_cell_length_c 10.808
_cell_angle_alpha 79.91
_cell_angle_beta 79.91
_cell_angle_gamma 60.00
_symmetry_space_group_name_H-M 'P 1'
_symmetry_Int_Tables_number 1
loop_
_symmetry_equiv_pos_as_xyz
'x,y,z'
loop_
_atom_site_label
_atom_site_fract_x
_atom_site_fract_y
_atom_site_fract_z
Pu1 0.890 0.890 0.328
Pu2 0.110 0.110 0.672
Ac1 0.000 0.000 0.000
Pt1 0.500 0.500 0.500
```

Properties
Its excess energy over the best structure of this formula in the dataset is 0.219 eV/atom. As for the formation energy from the elements: -39.1 meV/atom.

=====

DFT (GGA-PBE) results for a relaxed AcPu2Pt crystal.

Structure (CIF):
```
data_AcPu2Pt
_chemical_formula_sum 'Ac1 Pu2 Pt1'
_cell_length_a 3.724
_cell_length_b 3.724
_cell_length_c 8.087
_cell_angle_alpha 90.00
_cell_angle_beta 90.00
_cell_angle_gamma 90.00
_symmetry_space_group_name_H-M 'P 1'
_symmetry_Int_Tables_number 1
loop_
_symmetry_equiv_pos_as_xyz
'x,y,z'
loop_
_atom_site_label
_atom_site_fract_x
_atom_site_fract_y
_atom_site_fract_z
Pt1 0.500 0.500 0.000
Ac1 0.500 0.500 0.500
Pu1 0.000 0.000 0.187
Pu2 0.000 0.000 0.813
```

Properties
Its excess energy over the best structure of this formula in the dataset is 0.000 eV/atom. As for the formation energy from the elements: -258.3 meV/atom.

=====

DFT (GGA-PBE) results for a relaxed Ac2Pu3Pt4 crystal.

Structure (CIF):
```
data_Ac2Pu3Pt4
_chemical_formula_sum 'Ac4 Pu6 Pt8'
_cell_length_a 7.853
_cell_length_b 7.848
_cell_length_c 7.901
_cell_angle_alpha 90.00
_cell_angle_beta 90.00
_cell_angle_gamma 109.59
_symmetry_space_group_name_H-M 'P 1'
_symmetry_Int_Tables_number 1
loop_
_symmetry_equiv_pos_as_xyz
'x,y,z'
loop_
_atom_site_label
_atom_site_fract_x
_atom_site_fract_y
_atom_site_fract_z
Pt1 0.630 0.501 0.631
Pt2 0.870 0.499 0.131
Pt3 0.130 0.501 0.869
Pt4 0.853 0.084 0.542
Pt5 0.147 0.916 0.458
Pt6 0.647 0.916 0.042
Pt7 0.353 0.084 0.958
Pt8 0.370 0.499 0.369
Pu1 0.256 0.749 0.166
Pu2 0.744 0.251 0.834
Pu3 0.244 0.251 0.666
Pu4 0.756 0.749 0.334
Pu5 0.500 0.500 0.000
Pu6 0.000 0.500 0.500
Ac1 0.931 0.808 0.824
Ac2 0.569 0.192 0.324
Ac3 0.069 0.192 0.176
Ac4 0.431 0.808 0.676
```

Properties
As for the formation energy from the elements: -890.8 meV/atom.

=====

DFT (GGA-PBE) results for a relaxed Ac2PuPt crystal.

Structure (CIF):
```
data_Ac2PuPt
_chemical_formula_sum 'Ac2 Pu1 Pt1'
_cell_length_a 4.074
_cell_length_b 4.074
_cell_length_c 11.215
_cell_angle_alpha 79.54
_cell_angle_beta 79.54
_cell_angle_gamma 60.00
_symmetry_space_group_name_H-M 'P 1'
_symmetry_Int_Tables_number 1
loop_
_symmetry_equiv_pos_as_xyz
'x,y,z'
loop_
_atom_site_label
_atom_site_fract_x
_atom_site_fract_y
_atom_site_fract_z
Pt1 0.500 0.500 0.500
Ac1 0.890 0.890 0.331
Ac2 0.110 0.110 0.669
Pu1 0.000 0.000 0.000
```

Properties
Its excess energy over the best structure of this formula in the dataset is 0.227 eV/atom. As for the formation energy from the elements: -124.8 meV/atom.

=====

DFT (GGA-PBE) results for a relaxed Ac5Pu3Pt12 crystal.

Structure (CIF):
```
data_Ac5Pu3Pt12
_chemical_formula_sum 'Ac20 Pu12 Pt48'
_cell_length_a 14.579
_cell_length_b 14.579
_cell_length_c 14.579
_cell_angle_alpha 109.47
_cell_angle_beta 109.47
_cell_angle_gamma 109.47
_symmetry_space_group_name_H-M 'P 1'
_symmetry_Int_Tables_number 1
loop_
_symmetry_equiv_pos_as_xyz
'x,y,z'
loop_
_atom_site_label
_atom_site_fract_x
_atom_site_fract_y
_atom_site_fract_z
Pu1 0.750 0.375 0.125
Pu2 0.625 0.250 0.375
Pu3 0.625 0.375 0.750
Pu4 0.375 0.750 0.625
Pu5 0.125 0.250 0.875
Pu6 0.250 0.125 0.375
Pu7 0.875 0.750 0.125
Pu8 0.875 0.125 0.250
Pu9 0.125 0.875 0.750
Pu10 0.750 0.875 0.625
Pu11 0.250 0.625 0.875
Pu12 0.375 0.625 0.250
Pt1 0.765 0.344 0.921
Pt2 0.579 0.235 0.156
Pt3 0.923 0.079 0.844
Pt4 0.344 0.579 0.423
Pt5 0.079 0.423 0.844
Pt6 0.421 0.156 0.577
Pt7 0.579 0.844 0.423
Pt8 0.079 0.156 0.235
Pt9 0.921 0.844 0.765
Pt10 0.844 0.579 0.923
Pt11 0.077 0.156 0.421
Pt12 0.844 0.923 0.079
Pt13 0.656 0.421 0.577
Pt14 0.844 0.265 0.421
Pt15 0.923 0.844 0.579
Pt16 0.421 0.265 0.344
Pt17 0.656 0.079 0.235
Pt18 0.577 0.656 0.421
Pt19 0.265 0.421 0.844
Pt20 0.844 0.921 0.265
Pt21 0.265 0.844 0.921
Pt22 0.735 0.156 0.079
Pt23 0.423 0.079 0.344
Pt24 0.735 0.579 0.156
Pt25 0.079 0.656 0.735
Pt26 0.577 0.921 0.656
Pt27 0.156 0.421 0.077
Pt28 0.344 0.765 0.421
Pt29 0.579 0.344 0.923
Pt30 0.344 0.423 0.079
Pt31 0.421 0.765 0.844
Pt32 0.765 0.421 0.344
Pt33 0.235 0.656 0.079
Pt34 0.921 0.077 0.656
Pt35 0.077 0.921 0.156
Pt36 0.156 0.735 0.579
Pt37 0.921 0.344 0.265
Pt38 0.156 0.079 0.735
Pt39 0.579 0.735 0.656
Pt40 0.344 0.921 0.765
Pt41 0.423 0.344 0.579
Pt42 0.421 0.656 0.077
Pt43 0.921 0.577 0.156
Pt44 0.156 0.077 0.921
Pt45 0.079 0.923 0.344
Pt46 0.656 0.235 0.579
Pt47 0.656 0.577 0.921
Pt48 0.235 0.579 0.656
Ac1 0.000 0.000 0.500
Ac2 0.250 0.375 0.625
Ac3 0.375 0.250 0.125
Ac4 0.500 0.500 0.500
Ac5 0.750 0.125 0.875
Ac6 0.500 0.000 0.500
Ac7 0.625 0.875 0.250
Ac8 0.875 0.250 0.625
Ac9 0.500 0.500 0.000
Ac10 0.125 0.375 0.250
Ac11 0.000 0.500 0.500
Ac12 0.750 0.625 0.375
Ac13 0.375 0.125 0.750
Ac14 0.625 0.750 0.875
Ac15 0.125 0.750 0.375
Ac16 0.250 0.875 0.125
Ac17 0.875 0.625 0.750
Ac18 0.000 0.000 0.000
Ac19 0.000 0.500 0.000
Ac20 0.500 0.000 0.000
```

Properties
As for the formation energy from the elements: -491.1 meV/atom.

=====

Calculated size of the total moment in order - 21.94; 5.26; 5.95; 10.27; 9.89; 7.25; 5.55; 12.02; 11.56; 17.10; 6.78; 14.88 μB/f.u.
Calculated D(E_F) in order - 33.9; 13.6; 13.9; 26.8; 34.0; 8.0; 14.5; 19.5; 16.0; 30.7; 15.3; 49.2 states/eV/f.u.